(1)
{"formula": "TcPb2", "functional": "PBE", "state": "relaxed", "dft_energy_ev_per_fu": -16.556, "mass_density_g_cm3": 10.94, "ef_mev_per_atom": 409, "cell": [[1.7135, 5.1176, 0.1718], [-1.7135, 5.1176, 0.1718], [0.0000, 1.8042, 8.9271]], "species": ["Pb", "Pb", "Pb", "Pb", "Tc", "Tc"], "frac_coords": [[0.3854, 0.3854, 0.4031], [0.0029, 0.0029, 0.9813], [0.6041, 0.6041, 0.6327], [0.6949, 0.6949, 0.2095], [0.8551, 0.8551, 0.7141], [0.2909, 0.2909, 0.8926]]}



(2)
{"formula": "Ho2MgAl", "functional": "PBE", "state": "relaxed", "dft_energy_ev_per_fu": -15.572, "mass_density_g_cm3": 6.47, "ef_mev_per_atom": -270, "cell": [[5.1730, 0.0000, 0.0000], [2.5865, 4.4799, 0.0000], [2.5865, 1.4933, 4.2237]], "species": ["Ho", "Ho", "Al", "Mg"], "frac_coords": [[0.2500, 0.2500, 0.2500], [0.7500, 0.7500, 0.7500], [0.5000, 0.5000, 0.5000], [0.0000, 0.0000, 0.0000]]}



(3)
{"formula": "AlGa2Ag6", "functional": "PBE", "state": "relaxed", "dft_energy_ev_per_fu": -26.614, "mass_density_g_cm3": 8.33, "ef_mev_per_atom": 32, "cell": [[6.7686, 0.5779, 0.5595], [2.6979, 7.1571, 0.2620], [2.6979, 0.4937, 7.1449]], "species": ["Ga", "Ga", "Ga", "Ga", "Ag", "Ag", "Ag", "Ag", "Ag", "Ag", "Ag", "Ag", "Ag", "Ag", "Ag", "Ag", "Al", "Al"], "frac_coords": [[0.3983, 0.2337, 0.3841], [0.6017, 0.7663, 0.6159], [0.1017, 0.6159, 0.7663], [0.8983, 0.3841, 0.2337], [0.6350, 0.6104, 0.0073], [0.8035, 0.1796, 0.0309], [0.5854, 0.3266, 0.5973], [0.8650, 0.9927, 0.3896], [0.9146, 0.4027, 0.6734], [0.3650, 0.3896, 0.9927], [0.1965, 0.8204, 0.9691], [0.0854, 0.5973, 0.3266], [0.1350, 0.0073, 0.6104], [0.6965, 0.9691, 0.8204], [0.3035, 0.0309, 0.1796], [0.4146, 0.6734, 0.4027], [0.2500, 0.1756, 0.8244], [0.7500, 0.8244, 0.1756]]}



(4)
{"formula": "TaBRu3", "functional": "PBE", "state": "relaxed", "dft_energy_ev_per_fu": -47.710, "mass_density_g_cm3": 12.29, "ef_mev_per_atom": -270, "cell": [[-0.7112, -3.8553, -2.6256], [1.5424, -3.2926, 4.4168], [-5.4834, 1.4795, -0.6871]], "species": ["B", "B", "Ru", "Ru", "Ru", "Ru", "Ru", "Ru", "Ta", "Ta"], "frac_coords": [[0.5000, 0.0000, 0.0000], [0.0000, 0.0000, 0.0000], [0.7500, 0.1735, 0.3469], [0.2500, 0.3469, 0.1735], [0.2500, 0.8265, 0.6531], [0.7500, 0.1735, 0.8265], [0.2500, 0.8265, 0.1735], [0.7500, 0.6531, 0.8265], [0.2500, 0.3333, 0.6667], [0.7500, 0.6667, 0.3333]]}



(5)
{"formula": "TbNpTe3", "functional": "PBE", "state": "relaxed", "dft_energy_ev_per_fu": -32.134, "formation_energy_uncorrected_ev_per_atom": -1.028, "mass_density_g_cm3": 8.40, "cell": [[-3.5396, -2.0050, 1.5818], [4.1823, -7.1325, 0.3182], [5.0221, 3.6528, 15.8681]], "species": ["Np", "Np", "Np", "Np", "Te", "Te", "Te", "Te", "Te", "Te", "Te", "Te", "Te", "Te", "Te", "Te", "Tb", "Tb", "Tb", "Tb"], "frac_coords": [[0.2500, 0.6340, 0.2937], [0.7500, 0.3660, 0.7063], [0.7500, 0.8660, 0.7937], [0.2500, 0.1340, 0.2063], [0.7500, 0.8496, 0.2195], [0.7500, 0.1192, 0.0672], [0.7500, 0.9976, 0.6087], [0.2500, 0.6504, 0.7195], [0.7500, 0.3496, 0.2805], [0.7500, 0.4976, 0.8913], [0.2500, 0.8808, 0.9328], [0.2500, 0.3808, 0.5672], [0.2500, 0.5024, 0.1087], [0.2500, 0.0024, 0.3913], [0.2500, 0.1504, 0.7805], [0.7500, 0.6192, 0.4328], [0.7500, 0.7327, 0.0418], [0.2500, 0.7673, 0.5418], [0.2500, 0.2673, 0.9582], [0.7500, 0.2327, 0.4582]]}



(6)
{"formula": "BeRhCl2", "functional": "PBE", "state": "relaxed", "dft_energy_ev_per_fu": -13.455, "formation_energy_uncorrected_ev_per_atom": 0.329, "mass_density_g_cm3": 4.98, "cell": [[3.2547, 0.0000, 0.0000], [0.0000, 5.0880, -0.0094], [0.0000, 3.3932, 3.6714]], "species": ["Be", "Cl", "Cl", "Rh"], "frac_coords": [[0.0000, 0.0000, 0.5000], [0.0000, 0.0000, 0.0000], [0.5000, 0.5000, 0.0000], [0.5000, 0.5000, 0.5000]]}



(7)
{"formula": "TbPr6Cd", "functional": "PBE", "state": "relaxed", "dft_energy_ev_per_fu": -31.030, "mass_density_g_cm3": 5.80, "ef_mev_per_atom": 399, "cell": [[6.6188, 0.0247, -0.0246], [3.3157, 5.7775, 0.0179], [3.2881, 1.9426, 8.3747]], "species": ["Pr", "Pr", "Pr", "Pr", "Pr", "Pr", "Cd", "Tb"], "frac_coords": [[0.0368, 0.4288, 0.7119], [0.9632, 0.5712, 0.2881], [0.5692, 0.1860, 0.2849], [0.4308, 0.8140, 0.7151], [0.1838, 0.9695, 0.2857], [0.8162, 0.0305, 0.7143], [0.0000, 0.0000, 0.0000], [0.5000, 0.5000, 0.5000]]}



(8)
{"formula": "FeMoRu2", "functional": "PBE", "state": "relaxed", "dft_energy_ev_per_fu": -37.687, "mass_density_g_cm3": 10.69, "ef_mev_per_atom": 40, "cell": [[3.7461, 0.0000, 0.0000], [0.0000, 3.8316, 0.0000], [0.0000, 0.0000, 3.8316]], "species": ["Ru", "Ru", "Fe", "Mo"], "frac_coords": [[0.0000, 0.5000, 0.5000], [0.0000, 0.0000, 0.0000], [0.5000, 0.5000, 0.0000], [0.5000, 0.0000, 0.5000]]}



(9)
{"formula": "Ca2GaPtAu", "functional": "PBE", "state": "relaxed", "dft_energy_ev_per_fu": -16.610, "mass_density_g_cm3": 5.90, "ef_mev_per_atom": -52, "cell": [[-5.4253, -0.3016, -0.7489], [0.5982, -4.3081, -2.5989], [-0.4821, -2.8712, 4.6486]], "species": ["Pt", "Ca", "Ca", "Ga", "Au"], "frac_coords": [[0.0000, 0.5000, 0.0000], [0.5000, 0.0000, 0.0000], [0.0000, 0.0000, 0.5000], [0.5000, 0.5000, 0.5000], [0.0000, 0.0000, 0.0000]]}



(10)
{"formula": "Ac2ThAl", "functional": "PBE", "state": "relaxed", "dft_energy_ev_per_fu": -18.195, "mass_density_g_cm3": 8.22, "ef_mev_per_atom": 296, "cell": [[-0.2948, -1.2267, -3.4519], [-2.1537, -2.8826, -0.7482], [-10.3294, 6.2277, -3.2876]], "species": ["Al", "Ac", "Ac", "Th"], "frac_coords": [[0.5000, 0.5000, 0.5000], [0.0986, 0.0986, 0.7043], [0.9014, 0.9014, 0.2957], [0.0000, 0.0000, 0.0000]]}



(11)
{"formula": "CePmY2", "functional": "PBE", "state": "relaxed", "dft_energy_ev_per_fu": -22.828, "mass_density_g_cm3": 6.00, "ef_mev_per_atom": 196, "cell": [[-2.0899, -0.2746, -2.7235], [0.7327, -2.2367, -2.5141], [-7.0072, -9.6356, 4.1712]], "species": ["Y", "Y", "Ce", "Pm"], "frac_coords": [[0.9122, 0.9122, 0.2635], [0.0878, 0.0878, 0.7365], [0.0000, 0.0000, 0.0000], [0.5000, 0.5000, 0.5000]]}



(12)
{"formula": "CsBiN", "functional": "PBE", "state": "relaxed", "dft_energy_ev_per_fu": -13.814, "formation_energy_uncorrected_ev_per_atom": -0.251, "mass_density_g_cm3": 4.82, "cell": [[5.4414, -0.0491, 0.0387], [0.1352, 10.9301, -3.8493], [-2.8374, -7.0496, 6.5964]], "species": ["Bi", "Bi", "N", "N", "Cs", "Cs"], "frac_coords": [[0.6657, 0.7753, 0.7726], [0.9843, 0.4327, 0.4100], [0.3629, 0.7051, 0.1678], [0.2875, 0.5041, 0.0164], [0.1313, 0.9954, 0.7037], [0.5187, 0.2126, 0.4789]]}



(13)
{"formula": "AlBi3Br", "functional": "PBE", "state": "relaxed", "dft_energy_ev_per_fu": -15.168, "formation_energy_uncorrected_ev_per_atom": 0.378, "mass_density_g_cm3": 7.26, "cell": [[5.5163, 0.0000, 0.0000], [0.0000, 5.5163, 0.0000], [0.0000, 0.0000, 5.5163]], "species": ["Bi", "Bi", "Bi", "Al", "Br"], "frac_coords": [[0.0000, 0.0000, 0.5000], [0.0000, 0.5000, 0.0000], [0.5000, 0.0000, 0.0000], [0.0000, 0.0000, 0.0000], [0.5000, 0.5000, 0.5000]]}



(14)
{"formula": "Hf2ZrTi", "functional": "PBE", "state": "relaxed", "dft_energy_ev_per_fu": -36.011, "mass_density_g_cm3": 9.65, "ef_mev_per_atom": 85, "cell": [[4.3878, -0.0149, -0.0223], [-2.1816, 4.8804, -0.7164], [-2.1803, -2.3266, 4.3502]], "species": ["Hf", "Hf", "Ti", "Zr"], "frac_coords": [[0.6250, 0.0631, 0.6869], [0.1250, 0.8126, 0.9374], [0.1250, 0.3123, 0.4378], [0.6250, 0.5620, 0.1879]]}



(15)
{"formula": "ErIn2SnSe4", "functional": "PBE", "state": "relaxed", "dft_energy_ev_per_fu": -34.595, "formation_energy_uncorrected_ev_per_atom": -0.827, "mass_density_g_cm3": 6.22, "cell": [[-1.5363, 0.3387, -3.8354], [-6.8822, -1.7629, 2.6010], [-3.4741, 6.3089, 1.9487]], "species": ["Sn", "Se", "Se", "Se", "Se", "In", "In", "Er"], "frac_coords": [[0.5000, 0.5000, 0.0000], [0.0000, 0.2634, 0.2637], [0.5000, 0.7217, 0.2748], [0.5000, 0.2783, 0.7252], [0.0000, 0.7366, 0.7363], [0.0000, 0.0000, 0.0000], [0.5000, 0.0000, 0.5000], [0.0000, 0.5000, 0.5000]]}



(16)
{"formula": "Ba3NdAg4", "functional": "PBE", "state": "relaxed", "dft_energy_ev_per_fu": -23.745, "mass_density_g_cm3": 6.29, "ef_mev_per_atom": -226, "cell": [[-0.8982, 0.8715, 3.7993], [3.7940, -0.6990, 1.0573], [3.6416, 15.6409, -2.7270]], "species": ["Ba", "Ba", "Ba", "Ag", "Ag", "Ag", "Ag", "Nd"], "frac_coords": [[0.5000, 0.5000, 0.2408], [0.5000, 0.5000, 0.7592], [0.5000, 0.5000, 0.5000], [0.0000, 0.0000, 0.0959], [0.0000, 0.0000, 0.6288], [0.0000, 0.0000, 0.3712], [0.0000, 0.0000, 0.9041], [0.5000, 0.5000, 0.0000]]}



(17)
{"formula": "Cs2K2Tl15", "functional": "PBE", "state": "relaxed", "dft_energy_ev_per_fu": -40.245, "mass_density_g_cm3": 8.38, "ef_mev_per_atom": -45, "cell": [[-1.4653, -8.3351, 2.4449], [1.1724, -3.4119, -8.0364], [8.4967, -1.9891, 1.2040]], "species": ["Cs", "Cs", "Tl", "Tl", "Tl", "Tl", "Tl", "Tl", "Tl", "Tl", "Tl", "Tl", "Tl", "Tl", "Tl", "Tl", "Tl", "K", "K"], "frac_coords": [[0.6519, 0.6519, 0.6519], [0.3481, 0.3481, 0.3481], [0.0000, 0.2994, 0.7006], [0.0000, 0.5000, 0.0000], [0.5000, 0.0000, 0.0000], [0.6458, 0.1584, 0.6458], [0.6458, 0.6458, 0.1584], [0.7006, 0.0000, 0.2994], [0.0000, 0.7006, 0.2994], [0.7006, 0.2994, 0.0000], [0.2994, 0.0000, 0.7006], [0.8416, 0.3542, 0.3542], [0.1584, 0.6458, 0.6458], [0.2994, 0.7006, 0.0000], [0.3542, 0.3542, 0.8416], [0.0000, 0.0000, 0.5000], [0.3542, 0.8416, 0.3542], [0.8936, 0.8936, 0.8936], [0.1064, 0.1064, 0.1064]]}



(18)
{"formula": "Hf2Hg2W", "functional": "PBE", "state": "relaxed", "dft_energy_ev_per_fu": -28.509, "mass_density_g_cm3": 14.68, "ef_mev_per_atom": 991, "cell": [[3.9494, 0.0000, 0.0000], [0.0000, 3.9494, 0.0000], [1.9747, 1.9747, 6.8298]], "species": ["Hf", "Hf", "Hg", "Hg", "W"], "frac_coords": [[0.2500, 0.7500, 0.5000], [0.7500, 0.2500, 0.5000], [0.4042, 0.4042, 0.1915], [0.5958, 0.5958, 0.8085], [0.0000, 0.0000, 0.0000]]}



(19)
{"formula": "Pa2ReSi4Ir3", "functional": "PBE", "state": "relaxed", "dft_energy_ev_per_fu": -88.381, "formation_energy_uncorrected_ev_per_atom": -0.867, "mass_density_g_cm3": 13.07, "cell": [[-0.1841, 0.8018, -4.1102], [2.9178, -2.9265, -0.7016], [-6.9271, -6.6691, -0.9908]], "species": ["Si", "Si", "Si", "Si", "Ir", "Ir", "Ir", "Pa", "Pa", "Re"], "frac_coords": [[0.0000, 0.0000, 0.0000], [0.5000, 0.0000, 0.6298], [0.0000, 0.5000, 0.3702], [0.5000, 0.5000, 0.0000], [0.0000, 0.5000, 0.1254], [0.0000, 0.0000, 0.5000], [0.5000, 0.0000, 0.8746], [0.0000, 0.5000, 0.7448], [0.5000, 0.0000, 0.2552], [0.5000, 0.5000, 0.5000]]}



(20)
{"formula": "Dy2Pt5Au", "functional": "PBE", "state": "relaxed", "dft_energy_ev_per_fu": -50.726, "mass_density_g_cm3": 17.44, "ef_mev_per_atom": -1005, "cell": [[-0.6578, 3.3481, 2.3653], [-5.2509, 0.7354, -2.5011], [-4.8671, -6.7688, 8.2278]], "species": ["Dy", "Dy", "Dy", "Dy", "Pt", "Pt", "Pt", "Pt", "Pt", "Pt", "Pt", "Pt", "Pt", "Pt", "Au", "Au"], "frac_coords": [[0.5000, 0.7602, 0.8712], [0.5000, 0.2602, 0.6288], [0.5000, 0.2398, 0.1288], [0.5000, 0.7398, 0.3712], [0.0000, 0.5000, 0.5000], [0.0000, 0.0078, 0.7511], [0.0000, 0.5078, 0.7489], [0.5000, 0.7532, 0.6242], [0.5000, 0.2532, 0.8758], [0.0000, 0.4922, 0.2511], [0.0000, 0.0000, 0.0000], [0.5000, 0.7468, 0.1242], [0.0000, 0.9922, 0.2489], [0.5000, 0.2468, 0.3758], [0.0000, 0.0000, 0.5000], [0.0000, 0.5000, 0.0000]]}



(21)
{"formula": "TiInI2", "functional": "PBE", "state": "relaxed", "dft_energy_ev_per_fu": -13.278, "formation_energy_uncorrected_ev_per_atom": 0.114, "mass_density_g_cm3": 5.89, "cell": [[-0.7766, -2.6472, 4.7551], [-3.9160, 1.6798, 3.4734], [-4.5110, -3.0533, 0.7413]], "species": ["Ti", "I", "I", "In"], "frac_coords": [[0.0000, 0.0000, 0.0000], [0.2500, 0.2500, 0.2500], [0.7500, 0.7500, 0.7500], [0.5000, 0.5000, 0.5000]]}



(22)
{"formula": "AcSm3YTm", "functional": "PBE", "state": "relaxed", "dft_energy_ev_per_fu": -27.842, "mass_density_g_cm3": 7.28, "ef_mev_per_atom": 227, "cell": [[5.8261, 0.0000, 0.0000], [-2.9131, 10.1861, 1.6021], [0.0000, -1.2739, 6.9932]], "species": ["Y", "Y", "Tm", "Tm", "Sm", "Sm", "Sm", "Sm", "Sm", "Sm", "Ac", "Ac"], "frac_coords": [[0.9427, 0.8855, 0.7045], [0.0573, 0.1145, 0.2955], [0.6436, 0.2873, 0.4820], [0.3564, 0.7127, 0.5180], [0.1602, 0.3204, 0.7345], [0.8398, 0.6796, 0.2655], [0.7809, 0.5619, 0.7271], [0.2191, 0.4381, 0.2729], [0.4825, 0.9650, 0.2650], [0.5175, 0.0350, 0.7350], [0.6475, 0.2950, 0.0281], [0.3525, 0.7050, 0.9719]]}



(23)
{"formula": "TbCeAl2Ga2", "functional": "PBE", "state": "relaxed", "dft_energy_ev_per_fu": -27.316, "mass_density_g_cm3": 6.38, "ef_mev_per_atom": -535, "cell": [[4.4509, 0.0000, 0.0000], [-2.2254, 3.8546, 0.0000], [0.0000, 0.0000, 7.4761]], "species": ["Al", "Al", "Tb", "Ga", "Ga", "Ce"], "frac_coords": [[0.6667, 0.3333, 0.2540], [0.3333, 0.6667, 0.7460], [0.0000, 0.0000, 0.5000], [0.6667, 0.3333, 0.7419], [0.3333, 0.6667, 0.2581], [0.0000, 0.0000, 0.0000]]}



(24)
{"formula": "Ca2CuAs", "functional": "PBE", "state": "relaxed", "dft_energy_ev_per_fu": -15.096, "mass_density_g_cm3": 3.96, "ef_mev_per_atom": -587, "cell": [[-1.6015, 1.3594, 7.6585], [2.4229, -3.8141, -2.0202], [2.8743, 0.5934, 2.3227]], "species": ["Cu", "Ca", "Ca", "As"], "frac_coords": [[0.0000, 0.5000, 0.5000], [0.5000, 0.0000, 0.5000], [0.0000, 0.0000, 0.0000], [0.5000, 0.5000, 0.0000]]}